## Pm3NiPd (PBE-GGA)

Data for crystalline Pm3NiPd at its relaxed geometry.

Calculated values
- Formation energy from the elements: -0.432 eV per atom

Unit cell a=7.336 b=8.432 c=8.882 alpha=107.12 beta=90.00 gamma=90.00
Sites, in units of the cell vectors:
Pm 0.151 0.622 0.807
Pm 0.849 0.378 0.193
Pm 0.651 0.878 0.193
Pm 0.349 0.122 0.807
Pm 0.679 0.506 0.856
Pm 0.321 0.494 0.144
Pm 0.179 0.994 0.144
Pm 0.821 0.006 0.856
Pm 0.005 0.223 0.567
Pm 0.995 0.777 0.433
Pm 0.505 0.277 0.433
Pm 0.495 0.723 0.567
Ni 0.038 0.338 0.912
Ni 0.962 0.662 0.088
Ni 0.538 0.162 0.088
Ni 0.462 0.838 0.912
Pd 0.817 0.526 0.556
Pd 0.183 0.474 0.444
Pd 0.317 0.974 0.444
Pd 0.683 0.026 0.556


## BaScSb (PBE-GGA)

Data for crystalline BaScSb at its relaxed geometry.

Calculated values
- Energy relative to the elements, uncorrected: -0.796 eV per atom

Unit cell a=4.739 b=4.739 c=9.550 alpha=104.37 beta=104.37 gamma=90.00
Each line ends with the local moment (μB).
Sites, in units of the cell vectors:
Ba 0.327 0.327 0.654  0.07
Ba 0.673 0.673 0.346  0.07
Sc 0.500 0.000 0.000  0.38
Sc 0.000 0.500 0.000  0.38
Sb 0.889 0.889 0.778  -0.02
Sb 0.111 0.111 0.222  -0.02


## Pr2Ga7Ni (PBE-GGA)

Data for crystalline Pr2Ga7Ni at its relaxed geometry.

Calculated values
- Formation energy from the elements: -0.550 eV per atom

Unit cell a=4.327 b=4.327 c=10.461 alpha=90.00 beta=90.00 gamma=90.00
Sites, in units of the cell vectors:
Pr 0.000 0.000 0.999
Pr 0.500 0.500 0.482
Ga 0.000 0.500 0.233
Ga 0.500 0.000 0.755
Ga 0.500 0.000 0.233
Ga 0.000 0.500 0.755
Ga 0.000 0.000 0.618
Ga 0.000 0.000 0.381
Ga 0.500 0.500 0.911
Ni 0.500 0.500 0.134


## RbErZnO3 (PBE-GGA)

Data for crystalline RbErZnO3 at its relaxed geometry.

Calculated values
- Energy relative to the elements, uncorrected: -2.238 eV per atom

Unit cell a=3.516 b=7.858 c=8.354 alpha=107.47 beta=90.00 gamma=90.00
Sites, in units of the cell vectors:
Rb 0.250 0.205 0.219
Rb 0.750 0.795 0.781
Er 0.250 0.657 0.140
Er 0.750 0.343 0.860
Zn 0.250 0.081 0.615
Zn 0.750 0.919 0.385
O 0.750 0.848 0.143
O 0.250 0.152 0.857
O 0.250 0.828 0.449
O 0.750 0.172 0.551
O 0.750 0.470 0.131
O 0.250 0.530 0.869


Number 1: V 131.26 Å³/f.u.. Number 2: V 100.41 Å³/f.u.. Number 3: V 195.89 Å³/f.u.. Number 4: V 110.08 Å³/f.u..